Below is crystalline Al8CoIr2 at its relaxed geometry, with properties calculated at the GGA-PBE level.

Cell: 6.960 6.960 6.960 Å, 146.52 116.45 73.77°
Sites, in units of the cell vectors:
Al1 0.118 0.342 0.776
Al2 0.139 0.139 0.000
Al3 0.314 0.000 0.314
Al4 0.435 0.658 0.776
Al5 0.565 0.342 0.224
Al6 0.686 0.000 0.686
Al7 0.861 0.861 0.000
Al8 0.882 0.658 0.224
Co1 0.000 0.500 0.500
Ir1 0.304 0.804 0.500
Ir2 0.696 0.196 0.500

## Properties
- crystal system = orthorhombic
- spin magnetization (μB per cell) = 0.0
- energy of formation from the pure elements (eV per atom) = -0.533
- theoretical density (g cm⁻³) = 6.69

Below is crystalline AlCo2Ir at its relaxed geometry, with properties calculated at the GGA-PBE level.

Cell: 4.921 4.921 2.688 Å, 102.24 102.24 119.24°
Sites, in units of the cell vectors:
Al1 0.000 0.000 0.000
Co1 0.000 0.500 0.500
Co2 0.500 0.000 0.500
Ir1 0.500 0.500 0.000

## Properties
- crystal system = monoclinic
- spin magnetization (μB per cell) = 3.7
- energy of formation from the pure elements (eV per atom) = -0.139
- theoretical density (g cm⁻³) = 10.85